# 1
# Re2WC, relaxed, DFT PBE
# E_tot, eV per atom: -10.695
# Spin magnetization, μB/cell: 0.00
data_Re2WC
_chemical_formula_sum 'Re8 W4 C4'
_space_group_name_H-M_alt 'I -4 2 d'
_space_group_IT_number 122
_space_group_name_Hall 'I -4 2bw'
_cell_length_a 5.460
_cell_length_b 5.460
_cell_length_c 8.894
_cell_angle_alpha 90.00
_cell_angle_beta 90.00
_cell_angle_gamma 90.00
loop_
_atom_site_label
_atom_site_type_symbol
_atom_site_fract_x
_atom_site_fract_y
_atom_site_fract_z
Re1 Re 0.165 0.250 0.125
W1 W 0.000 0.000 0.500
C1 C 0.000 0.000 0.000

***

# 2
# Re3WC, relaxed, DFT PBE
# Spin magnetization, μB/cell: 0.00
# Offset from the most stable computed form, eV/atom: 0.0000
data_Re3WC
_chemical_formula_sum 'Re3 W1 C1'
_space_group_name_H-M_alt 'P m -3 m'
_space_group_IT_number 221
_space_group_name_Hall '-P 4 2 3'
_cell_length_a 4.089
_cell_length_b 4.089
_cell_length_c 4.089
_cell_angle_alpha 90.00
_cell_angle_beta 90.00
_cell_angle_gamma 90.00
loop_
_atom_site_label
_atom_site_type_symbol
_atom_site_fract_x
_atom_site_fract_y
_atom_site_fract_z
Re1 Re 0.000 0.000 0.500
W1 W 0.500 0.500 0.500
C1 C 0.000 0.000 0.000

***

# 3
# ZnReW2C, relaxed, DFT PBE
# E_tot, eV per atom: -6.380
# Spin magnetization, μB/cell: 0.00
data_ZnReW2C
_chemical_formula_sum 'Zn1 Re1 W2 C1'
_space_group_name_H-M_alt 'P 4/m m m'
_space_group_IT_number 123
_space_group_name_Hall '-P 4 2'
_cell_length_a 4.541
_cell_length_b 4.541
_cell_length_c 4.466
_cell_angle_alpha 90.00
_cell_angle_beta 90.00
_cell_angle_gamma 90.00
loop_
_atom_site_label
_atom_site_type_symbol
_atom_site_fract_x
_atom_site_fract_y
_atom_site_fract_z
Zn1 Zn 0.000 0.000 0.000
Re1 Re 0.000 0.000 0.500
W1 W 0.000 0.500 0.000
C1 C 0.500 0.500 0.500

***

# 4
# Y2ReC2, relaxed, DFT PBE
# E_tot, eV per atom: -9.183
# Spin magnetization, μB/cell: 0.00
data_Y2ReC2
_chemical_formula_sum 'Y8 Re4 C8'
_space_group_name_H-M_alt 'P n m a'
_space_group_IT_number 62
_cell_length_a 6.596
_cell_length_b 5.135
_cell_length_c 9.889
_cell_angle_alpha 90.00
_cell_angle_beta 90.00
_cell_angle_gamma 90.00
loop_
_space_group_symop_operation_xyz
'x,y,z'
'-x,-y,-z'
'-x+1/2,-y,z+1/2'
'x+1/2,y,-z+1/2'
'x+1/2,-y+1/2,-z+1/2'
'-x+1/2,y+1/2,z+1/2'
'-x,y+1/2,-z'
'x,-y+1/2,z'
loop_
_atom_site_label
_atom_site_type_symbol
_atom_site_fract_x
_atom_site_fract_y
_atom_site_fract_z
Y1 Y 0.032 0.250 0.216
Y2 Y 0.180 0.250 0.555
Re1 Re 0.222 0.250 0.865
C1 C 0.045 0.750 0.241
C2 C 0.178 0.750 0.548

***

# 5
# YRe3C, relaxed, DFT PBE
# Spin magnetization, μB/cell: 2.06
# Offset from the most stable computed form, eV/atom: 4.2455
data_YRe3C
_chemical_formula_sum 'Y1 Re3 C1'
_space_group_name_H-M_alt 'P m -3 m'
_space_group_IT_number 221
_space_group_name_Hall '-P 4 2 3'
_cell_length_a 4.837
_cell_length_b 4.837
_cell_length_c 4.837
_cell_angle_alpha 90.00
_cell_angle_beta 90.00
_cell_angle_gamma 90.00
loop_
_atom_site_label
_atom_site_type_symbol
_atom_site_fract_x
_atom_site_fract_y
_atom_site_fract_z
Y1 Y 0.000 0.000 0.000
Re1 Re 0.000 0.000 0.500
C1 C 0.500 0.500 0.500

***

# 6
# YRe2C2, relaxed, DFT PBE
# Spin magnetization, μB/cell: 0.00
# Offset from the most stable computed form, eV/atom: 0.2835
data_YRe2C2
_chemical_formula_sum 'Y2 Re4 C4'
_space_group_name_H-M_alt 'I 4/m m m'
_space_group_IT_number 139
_space_group_name_Hall '-I 4 2'
_cell_length_a 3.899
_cell_length_b 3.899
_cell_length_c 9.922
_cell_angle_alpha 90.00
_cell_angle_beta 90.00
_cell_angle_gamma 90.00
loop_
_atom_site_label
_atom_site_type_symbol
_atom_site_fract_x
_atom_site_fract_y
_atom_site_fract_z
Y1 Y 0.000 0.000 0.000
Re1 Re 0.000 0.500 0.250
C1 C 0.000 0.000 0.327

***

# 7
# YReC3, relaxed, DFT PBE
# Spin magnetization, μB/cell: 0.00
# Offset from the most stable computed form, eV/atom: 0.0000
data_YReC3
_chemical_formula_sum 'Y1 Re1 C3'
_space_group_name_H-M_alt 'P m -3 m'
_space_group_IT_number 221
_space_group_name_Hall '-P 4 2 3'
_cell_length_a 4.027
_cell_length_b 4.027
_cell_length_c 4.027
_cell_angle_alpha 90.00
_cell_angle_beta 90.00
_cell_angle_gamma 90.00
loop_
_atom_site_label
_atom_site_type_symbol
_atom_site_fract_x
_atom_site_fract_y
_atom_site_fract_z
Y1 Y 0.000 0.000 0.000
Re1 Re 0.500 0.500 0.500
C1 C 0.000 0.500 0.500

***

# 8
# Y3ReC, relaxed, DFT PBE
# Spin magnetization, μB/cell: 0.00
# Offset from the most stable computed form, eV/atom: 0.0000
data_Y3ReC
_chemical_formula_sum 'Y3 Re1 C1'
_space_group_name_H-M_alt 'P m -3 m'
_space_group_IT_number 221
_space_group_name_Hall '-P 4 2 3'
_cell_length_a 4.790
_cell_length_b 4.790
_cell_length_c 4.790
_cell_angle_alpha 90.00
_cell_angle_beta 90.00
_cell_angle_gamma 90.00
loop_
_atom_site_label
_atom_site_type_symbol
_atom_site_fract_x
_atom_site_fract_y
_atom_site_fract_z
Y1 Y 0.000 0.000 0.500
Re1 Re 0.500 0.500 0.500
C1 C 0.000 0.000 0.000

***

# 9
# Y2Re2C3, relaxed, DFT PBE
# E_tot, eV per atom: -9.681
# Spin magnetization, μB/cell: 0.00
data_Y2Re2C3
_chemical_formula_sum 'Y4 Re4 C6'
_space_group_name_H-M_alt 'C 1 2/m 1'
_space_group_IT_number 12
_cell_length_a 11.811
_cell_length_b 3.296
_cell_length_c 5.692
_cell_angle_alpha 90.00
_cell_angle_beta 114.00
_cell_angle_gamma 90.00
loop_
_space_group_symop_operation_xyz
'x,y,z'
'-x,-y,-z'
'-x,y,-z'
'x,-y,z'
'x+1/2,y+1/2,z'
'-x+1/2,-y+1/2,-z'
'-x+1/2,y+1/2,-z'
'x+1/2,-y+1/2,z'
loop_
_atom_site_label
_atom_site_type_symbol
_atom_site_fract_x
_atom_site_fract_y
_atom_site_fract_z
Y1 Y 0.109 0.000 0.316
Re1 Re 0.156 0.500 0.821
C1 C 0.000 0.500 0.500
C2 C 0.248 0.500 0.231

***

# 10
# YReC3, relaxed, DFT PBE
# Spin magnetization, μB/cell: 0.00
# Offset from the most stable computed form, eV/atom: 2.7066
data_YReC3
_chemical_formula_sum 'Y1 Re1 C3'
_space_group_name_H-M_alt 'P m -3 m'
_space_group_IT_number 221
_space_group_name_Hall '-P 4 2 3'
_cell_length_a 4.206
_cell_length_b 4.206
_cell_length_c 4.206
_cell_angle_alpha 90.00
_cell_angle_beta 90.00
_cell_angle_gamma 90.00
loop_
_atom_site_label
_atom_site_type_symbol
_atom_site_fract_x
_atom_site_fract_y
_atom_site_fract_z
Y1 Y 0.000 0.000 0.000
Re1 Re 0.500 0.500 0.500
C1 C 0.000 0.000 0.500

***

# 11
# YRe2C2, relaxed, DFT PBE
# Spin magnetization, μB/cell: 0.00
# Offset from the most stable computed form, eV/atom: 0.0000
data_YRe2C2
_chemical_formula_sum 'Y4 Re8 C8'
_space_group_name_H-M_alt 'C 1 2/c 1'
_space_group_IT_number 15
_cell_length_a 6.903
_cell_length_b 8.782
_cell_length_c 5.531
_cell_angle_alpha 90.00
_cell_angle_beta 123.03
_cell_angle_gamma 90.00
loop_
_space_group_symop_operation_xyz
'x,y,z'
'-x,-y,-z'
'-x,y,-z+1/2'
'x,-y,z+1/2'
'x+1/2,y+1/2,z'
'-x+1/2,-y+1/2,-z'
'-x+1/2,y+1/2,-z+1/2'
'x+1/2,-y+1/2,z+1/2'
loop_
_atom_site_label
_atom_site_type_symbol
_atom_site_fract_x
_atom_site_fract_y
_atom_site_fract_z
Y1 Y 0.000 0.127 0.250
Re1 Re 0.155 0.384 0.034
C1 C 0.000 0.186 0.750
C2 C 0.000 0.424 0.250

***

# 12
# Y2Re2C, relaxed, DFT PBE
# Spin magnetization, μB/cell: 0.00
# Offset from the most stable computed form, eV/atom: 0.0000
data_Y2Re2C
_chemical_formula_sum 'Y4 Re4 C2'
_space_group_name_H-M_alt 'P 4/m b m'
_space_group_IT_number 127
_space_group_name_Hall '-P 4 2ab'
_cell_length_a 5.723
_cell_length_b 5.723
_cell_length_c 5.359
_cell_angle_alpha 90.00
_cell_angle_beta 90.00
_cell_angle_gamma 90.00
loop_
_atom_site_label
_atom_site_type_symbol
_atom_site_fract_x
_atom_site_fract_y
_atom_site_fract_z
Y1 Y 0.170 0.330 0.000
Re1 Re 0.161 0.661 0.500
C1 C 0.000 0.000 0.500

***

# 13
# YRe3C, relaxed, DFT PBE
# Spin magnetization, μB/cell: 1.19
# Offset from the most stable computed form, eV/atom: 0.0000
data_YRe3C
_chemical_formula_sum 'Y1 Re3 C1'
_space_group_name_H-M_alt 'P m -3 m'
_space_group_IT_number 221
_space_group_name_Hall '-P 4 2 3'
_cell_length_a 4.237
_cell_length_b 4.237
_cell_length_c 4.237
_cell_angle_alpha 90.00
_cell_angle_beta 90.00
_cell_angle_gamma 90.00
loop_
_atom_site_label
_atom_site_type_symbol
_atom_site_fract_x
_atom_site_fract_y
_atom_site_fract_z
Y1 Y 0.000 0.000 0.000
Re1 Re 0.000 0.500 0.500
C1 C 0.500 0.500 0.500

***

# 14
# Y2Re2C, relaxed, DFT PBE
# Spin magnetization, μB/cell: 0.00
# Offset from the most stable computed form, eV/atom: 0.4350
data_Y2Re2C
_chemical_formula_sum 'Y4 Re4 C2'
_space_group_name_H-M_alt 'I 4/m m m'
_space_group_IT_number 139
_space_group_name_Hall '-I 4 2'
_cell_length_a 5.665
_cell_length_b 5.665
_cell_length_c 6.551
_cell_angle_alpha 90.00
_cell_angle_beta 90.00
_cell_angle_gamma 90.00
loop_
_atom_site_label
_atom_site_type_symbol
_atom_site_fract_x
_atom_site_fract_y
_atom_site_fract_z
Y1 Y 0.000 0.500 0.250
Re1 Re 0.000 0.000 0.203
C1 C 0.000 0.000 0.500

***

# 15
# YRe2C2, relaxed, DFT PBE
# Spin magnetization, μB/cell: 0.00
# Offset from the most stable computed form, eV/atom: 0.8986
data_YRe2C2
_chemical_formula_sum 'Y2 Re4 C4'
_space_group_name_H-M_alt 'P 4/m b m'
_space_group_IT_number 127
_space_group_name_Hall '-P 4 2ab'
_cell_length_a 6.645
_cell_length_b 6.645
_cell_length_c 2.921
_cell_angle_alpha 90.00
_cell_angle_beta 90.00
_cell_angle_gamma 90.00
loop_
_atom_site_label
_atom_site_type_symbol
_atom_site_fract_x
_atom_site_fract_y
_atom_site_fract_z
Y1 Y 0.000 0.000 0.000
Re1 Re 0.132 0.368 0.500
C1 C 0.129 0.629 0.000

***

# 16
# YZr2ReC4, relaxed, DFT PBE
# E_tot, eV per atom: -9.427
# Spin magnetization, μB/cell: 0.00
data_YZr2ReC4
_chemical_formula_sum 'Y4 Zr8 Re4 C16'
_space_group_name_H-M_alt 'C m c m'
_space_group_IT_number 63
_space_group_name_Hall '-C 2c 2'
_cell_length_a 3.335
_cell_length_b 11.681
_cell_length_c 11.678
_cell_angle_alpha 90.00
_cell_angle_beta 90.00
_cell_angle_gamma 90.00
loop_
_atom_site_label
_atom_site_type_symbol
_atom_site_fract_x
_atom_site_fract_y
_atom_site_fract_z
Y1 Y 0.000 0.103 0.250
Zr1 Zr 0.000 0.369 0.037
Re1 Re 0.000 0.160 0.750
C1 C 0.000 0.000 0.000
C2 C 0.000 0.262 0.620
C3 C 0.000 0.439 0.250

***

# 17
# Yb2ReC2, relaxed, DFT PBE
# E_tot, eV per atom: -6.958
# Spin magnetization, μB/cell: 0.01
data_Yb2ReC2
_chemical_formula_sum 'Yb8 Re4 C8'
_space_group_name_H-M_alt 'P n m a'
_space_group_IT_number 62
_cell_length_a 6.605
_cell_length_b 5.121
_cell_length_c 9.977
_cell_angle_alpha 90.00
_cell_angle_beta 90.00
_cell_angle_gamma 90.00
loop_
_space_group_symop_operation_xyz
'x,y,z'
'-x,-y,-z'
'-x+1/2,-y,z+1/2'
'x+1/2,y,-z+1/2'
'x+1/2,-y+1/2,-z+1/2'
'-x+1/2,y+1/2,z+1/2'
'-x,y+1/2,-z'
'x,-y+1/2,z'
loop_
_atom_site_label
_atom_site_type_symbol
_atom_site_fract_x
_atom_site_fract_y
_atom_site_fract_z
Yb1 Yb 0.034 0.250 0.224
Yb2 Yb 0.189 0.250 0.549
Re1 Re 0.230 0.250 0.859
C1 C 0.038 0.750 0.238
C2 C 0.193 0.750 0.542

***

# 18
# Zn2Re2C, relaxed, DFT PBE
# E_tot, eV per atom: -6.782
# Spin magnetization, μB/cell: 0.00
data_Zn2Re2C
_chemical_formula_sum 'Zn2 Re2 C1'
_space_group_name_H-M_alt 'P 4/m m m'
_space_group_IT_number 123
_space_group_name_Hall '-P 4 2'
_cell_length_a 4.065
_cell_length_b 4.065
_cell_length_c 4.147
_cell_angle_alpha 90.00
_cell_angle_beta 90.00
_cell_angle_gamma 90.00
loop_
_atom_site_label
_atom_site_type_symbol
_atom_site_fract_x
_atom_site_fract_y
_atom_site_fract_z
Zn1 Zn 0.000 0.000 0.000
Zn2 Zn 0.500 0.500 0.000
Re1 Re 0.000 0.500 0.500
C1 C 0.000 0.000 0.500

***

# 19
# ZnReC2, relaxed, DFT PBE
# E_tot, eV per atom: -7.288
# Spin magnetization, μB/cell: 0.00
data_ZnReC2
_chemical_formula_sum 'Zn4 Re4 C8'
_space_group_name_H-M_alt 'I -4 2 d'
_space_group_IT_number 122
_space_group_name_Hall 'I -4 2bw'
_cell_length_a 4.745
_cell_length_b 4.745
_cell_length_c 9.273
_cell_angle_alpha 90.00
_cell_angle_beta 90.00
_cell_angle_gamma 90.00
loop_
_atom_site_label
_atom_site_type_symbol
_atom_site_fract_x
_atom_site_fract_y
_atom_site_fract_z
Zn1 Zn 0.000 0.000 0.000
Re1 Re 0.000 0.000 0.500
C1 C 0.216 0.250 0.625

***

# 20
# ZnRe2C, relaxed, DFT PBE
# Spin magnetization, μB/cell: 0.00
# Offset from the most stable computed form, eV/atom: 0.0871
data_ZnRe2C
_chemical_formula_sum 'Zn4 Re8 C4'
_space_group_name_H-M_alt 'F m -3 m'
_space_group_IT_number 225
_space_group_name_Hall '-F 4 2 3'
_cell_length_a 5.807
_cell_length_b 5.807
_cell_length_c 5.807
_cell_angle_alpha 90.00
_cell_angle_beta 90.00
_cell_angle_gamma 90.00
loop_
_atom_site_label
_atom_site_type_symbol
_atom_site_fract_x
_atom_site_fract_y
_atom_site_fract_z
Zn1 Zn 0.000 0.000 0.000
Re1 Re 0.250 0.250 0.250
C1 C 0.000 0.000 0.500

***

# 21
# ZnRe2C, relaxed, DFT PBE
# Spin magnetization, μB/cell: 0.00
# Offset from the most stable computed form, eV/atom: 0.0000
data_ZnRe2C
_chemical_formula_sum 'Zn4 Re8 C4'
_space_group_name_H-M_alt 'I -4 2 d'
_space_group_IT_number 122
_space_group_name_Hall 'I -4 2bw'
_cell_length_a 4.699
_cell_length_b 4.699
_cell_length_c 12.144
_cell_angle_alpha 90.00
_cell_angle_beta 90.00
_cell_angle_gamma 90.00
loop_
_atom_site_label
_atom_site_type_symbol
_atom_site_fract_x
_atom_site_fract_y
_atom_site_fract_z
Zn1 Zn 0.000 0.000 0.000
Re1 Re 0.119 0.250 0.625
C1 C 0.000 0.000 0.500

***

# 22
# ZnReC3, relaxed, DFT PBE
# Spin magnetization, μB/cell: 0.00
# Offset from the most stable computed form, eV/atom: 0.0000
data_ZnReC3
_chemical_formula_sum 'Zn1 Re1 C3'
_space_group_name_H-M_alt 'P m -3 m'
_space_group_IT_number 221
_space_group_name_Hall '-P 4 2 3'
_cell_length_a 4.050
_cell_length_b 4.050
_cell_length_c 4.050
_cell_angle_alpha 90.00
_cell_angle_beta 90.00
_cell_angle_gamma 90.00
loop_
_atom_site_label
_atom_site_type_symbol
_atom_site_fract_x
_atom_site_fract_y
_atom_site_fract_z
Zn1 Zn 0.000 0.000 0.000
Re1 Re 0.500 0.500 0.500
C1 C 0.000 0.500 0.500

***

# 23
# ZnReC3, relaxed, DFT PBE
# Spin magnetization, μB/cell: 0.01
# Offset from the most stable computed form, eV/atom: 1.3435
data_ZnReC3
_chemical_formula_sum 'Zn1 Re1 C3'
_space_group_name_H-M_alt 'P m -3 m'
_space_group_IT_number 221
_space_group_name_Hall '-P 4 2 3'
_cell_length_a 3.795
_cell_length_b 3.795
_cell_length_c 3.795
_cell_angle_alpha 90.00
_cell_angle_beta 90.00
_cell_angle_gamma 90.00
loop_
_atom_site_label
_atom_site_type_symbol
_atom_site_fract_x
_atom_site_fract_y
_atom_site_fract_z
Zn1 Zn 0.000 0.000 0.000
Re1 Re 0.500 0.500 0.500
C1 C 0.000 0.000 0.500

***

# 24
# ZrReC2, relaxed, DFT PBE
# Spin magnetization, μB/cell: 0.00
# Offset from the most stable computed form, eV/atom: 0.3752
data_ZrReC2
_chemical_formula_sum 'Zr4 Re4 C8'
_space_group_name_H-M_alt 'F m -3 m'
_space_group_IT_number 225
_space_group_name_Hall '-F 4 2 3'
_cell_length_a 5.608
_cell_length_b 5.608
_cell_length_c 5.608
_cell_angle_alpha 90.00
_cell_angle_beta 90.00
_cell_angle_gamma 90.00
loop_
_atom_site_label
_atom_site_type_symbol
_atom_site_fract_x
_atom_site_fract_y
_atom_site_fract_z
Zr1 Zr 0.000 0.000 0.000
Re1 Re 0.000 0.000 0.500
C1 C 0.250 0.250 0.250

***

# 25
# ZrReC2, relaxed, DFT PBE
# Spin magnetization, μB/cell: 0.00
# Offset from the most stable computed form, eV/atom: 0.0000
data_ZrReC2
_chemical_formula_sum 'Zr4 Re4 C8'
_space_group_name_H-M_alt 'I -4 2 d'
_space_group_IT_number 122
_space_group_name_Hall 'I -4 2bw'
_cell_length_a 4.790
_cell_length_b 4.790
_cell_length_c 9.985
_cell_angle_alpha 90.00
_cell_angle_beta 90.00
_cell_angle_gamma 90.00
loop_
_atom_site_label
_atom_site_type_symbol
_atom_site_fract_x
_atom_site_fract_y
_atom_site_fract_z
Zr1 Zr 0.000 0.000 0.000
Re1 Re 0.000 0.000 0.500
C1 C 0.202 0.250 0.625